Entry 1:
Density functional theory data (PBE) for an optimized crystal structure of TcGe2Pb.

a = 5.0443 Å, b = 5.0443 Å, c = 15.7202 Å
α = 90.00°, β = 90.00°, γ = 90.00°
Element x y z (fractional)
1 Tc 0.0000 0.0000 0.0000
2 Tc 0.0000 0.5000 0.2500
3 Tc 0.5000 0.0000 0.7500
4 Tc 0.5000 0.5000 0.5000
5 Ge 0.1211 0.2500 0.1250
6 Ge 0.2500 0.6211 0.3750
7 Ge 0.2500 0.8789 0.8750
8 Ge 0.3789 0.2500 0.6250
9 Ge 0.6211 0.7500 0.6250
10 Ge 0.7500 0.1211 0.8750
11 Ge 0.7500 0.3789 0.3750
12 Ge 0.8789 0.7500 0.1250
13 Pb 0.0000 0.0000 0.5000
14 Pb 0.0000 0.5000 0.7500
15 Pb 0.5000 0.0000 0.2500
16 Pb 0.5000 0.5000 0.0000

Entry 2:
Density functional theory data (PBE) for an optimized crystal structure of TcGe3Pb.

a = 4.8957 Å, b = 4.8957 Å, c = 4.8957 Å
α = 90.00°, β = 90.00°, γ = 90.00°
Element x y z (fractional)
1 Tc 0.0000 0.0000 0.0000
2 Ge 0.0000 0.0000 0.5000
3 Ge 0.0000 0.5000 0.0000
4 Ge 0.5000 0.0000 0.0000
5 Pb 0.5000 0.5000 0.5000

Going through the records in order, we get magnetization values of 0.00 0.39 μB per formula unit.
Going through the records in order, we get energy of formation values of 468.4 303.9 meV per atom.